[1]
8
Lattice="-3.0974 3.0974 6.2404 3.0974 -3.0974 6.2404 3.0974 3.0974 -6.2404" Properties=species:S:1:pos:R:3 comment="meta-GGA SCAN Al2SnTe, PBEsol geometry" sg=I-42d raw_formation_energy_mev_per_atom=-135 pbc="T T T"
Al 4.6461 1.4494 -1.5601
Al 1.4494 1.5487 1.5601
Al -1.5487 1.6479 4.6803
Al 1.6479 1.5487 7.8005
Sn 0.0000 0.0000 0.0000
Sn 0.0000 3.0974 3.1202
Te 3.0974 0.0000 3.1202
Te 0.0000 0.0000 6.2404

---

[2]
5
Lattice="5.2032 0.0000 0.0000 0.0000 5.2032 0.0000 0.0000 0.0000 5.2032" Properties=species:S:1:pos:R:3 comment="meta-GGA SCAN TiAlSn3, PBEsol geometry" sg=Pm-3m delta_e_f_ev_per_atom=0.38 pbc="T T T"
Ti 0.0000 0.0000 0.0000
Al 2.6016 2.6016 2.6016
Sn 0.0000 0.0000 2.6016
Sn 0.0000 2.6016 0.0000
Sn 2.6016 0.0000 0.0000

---

[3]
4
Lattice="0.0000 3.5484 3.5484 3.5484 0.0000 3.5484 3.5484 3.5484 0.0000" Properties=species:S:1:pos:R:3 comment="meta-GGA SCAN Al2TlSn, PBEsol geometry" sg=Fm-3m delta_e_f_ev_per_atom=0.30 pbc="T T T"
Al 1.7742 1.7742 1.7742
Al 5.3226 5.3226 5.3226
Tl 0.0000 0.0000 0.0000
Sn 3.5484 3.5484 3.5484

---

no.,raw total energy (eV/atom)
1,-22.30
2,-25.93
3,-30.65